No. 1
Below is PuAl9Rh2 after structural relaxation, with properties calculated at the GGA-PBE level.

Cell and atoms, written as extended XYZ:
```
24
Lattice="-3.754 -5.144 2.635 -2.257 -5.802 -5.529 4.468 -6.447 2.794" Properties=species:S:1:pos:R:3 pbc="T T T"
Pu -1.877 -2.572 1.317
Pu 0.167 -7.411 -0.709
Al -1.710 -9.983 0.608
Al 0.000 0.000 0.000
Al 0.931 -9.760 -3.182
Al -1.023 -5.646 2.064
Al -0.366 -8.256 2.411
Al -1.603 -9.722 -2.213
Al -2.060 -12.316 -0.964
Al 0.944 -4.493 0.563
Al -0.916 -7.786 -4.011
Al 1.678 -6.450 2.293
Al -0.429 -12.472 1.055
Al -0.687 -4.336 -1.455
Al 3.125 -8.173 0.991
Al -2.363 -6.063 -2.709
Al 2.562 -9.916 -1.164
Al -2.654 -5.490 0.045
Al -3.050 -7.999 -0.910
Al 1.081 -9.979 1.109
Rh -0.498 -10.787 3.018
Rh -3.860 -10.465 -1.143
Rh -2.732 -7.563 1.622
Rh 0.251 -11.116 -1.064
```

Size of the total moment in μB/cell: 11.91
Formation energy from the elements in meV per atom: -524
DOS at the Fermi energy in states/eV/f.u.: 9.4
Crystal system: tetragonal
Symmetry: I4_1/amd

No. 2
Below is Pu4AlRh4 after structural relaxation, with properties calculated at the GGA-PBE level.

Cell and atoms, written as extended XYZ:
```
9
Lattice="-1.544 -2.852 -3.621 3.975 -0.467 -4.589 1.572 -5.844 0.670" Properties=species:S:1:pos:R:3 pbc="T T T"
Pu 3.302 -7.953 -4.932
Pu 0.702 -1.211 -2.608
Pu 0.172 -5.919 -1.936
Pu 3.831 -3.244 -5.603
Al 0.000 0.000 0.000
Rh 0.769 -4.092 -3.630
Rh 3.235 -5.071 -3.910
Rh 3.056 -2.193 -2.838
Rh 0.947 -6.970 -4.701
```

Size of the total moment in μB/cell: 1.06
Formation energy from the elements in meV per atom: -203
DOS at the Fermi energy in states/eV/f.u.: 16.5
Crystal system: tetragonal
Symmetry: I4/m

No. 3
Below is Pu2Al9Rh3 after structural relaxation, with properties calculated at the GGA-PBE level.

Cell and atoms, written as extended XYZ:
```
28
Lattice="-5.276 0.628 -5.432 -0.634 -5.337 5.371 -1.177 7.449 7.272" Properties=species:S:1:pos:R:3 pbc="T T T"
Pu -2.819 4.476 4.966
Pu -4.269 -1.737 2.245
Pu -6.519 3.080 3.175
Pu -0.569 -0.340 4.036
Al -3.885 0.950 7.889
Al -3.203 1.790 -0.677
Al -4.882 2.230 5.636
Al -2.206 0.510 1.575
Al -3.864 3.746 7.732
Al -3.224 -1.006 -0.521
Al -2.154 1.624 5.820
Al -4.934 1.116 1.391
Al -5.616 5.439 1.372
Al -1.472 -2.700 5.839
Al -2.428 1.869 11.437
Al -4.660 0.871 -4.225
Al -3.616 3.480 2.116
Al -3.472 -0.740 5.095
Al -5.864 0.228 3.989
Al -1.223 2.512 3.223
Al -5.442 5.760 4.132
Al -1.646 -3.020 3.079
Rh -2.638 0.314 -2.716
Rh -3.544 1.370 3.606
Rh -5.129 3.335 -0.017
Rh -1.959 -0.595 7.228
Rh -1.122 -1.706 0.906
Rh -5.965 4.446 6.305
```

Size of the total moment in μB/cell: 20.55
Formation energy from the elements in meV per atom: -680
DOS at the Fermi energy in states/eV/f.u.: 29.7
Crystal system: monoclinic
Symmetry: C2/c

No. 4
Below is PuAl4Rh after structural relaxation, with properties calculated at the GGA-PBE level.

Cell and atoms, written as extended XYZ:
```
12
Lattice="5.338 -0.002 2.109 -0.832 5.273 2.109 -0.231 -0.270 8.390" Properties=species:S:1:pos:R:3 pbc="T T T"
Pu 2.253 2.636 2.109
Pu 0.000 0.000 0.000
Al -0.037 0.741 3.017
Al 0.217 3.377 4.337
Al 2.737 0.078 3.806
Al 1.539 4.923 8.803
Al 4.058 1.624 8.273
Al 4.312 4.260 9.592
Al 1.284 2.287 7.482
Al 2.991 2.714 5.127
Rh 3.264 3.819 7.359
Rh 1.011 1.183 5.250
```

Size of the total moment in μB/cell: 11.88
Formation energy from the elements in meV per atom: -261
DOS at the Fermi energy in states/eV/f.u.: 8.4
Crystal system: tetragonal
Symmetry: I4/mcm

No. 5
Below is Pu2AlRh3 after structural relaxation, with properties calculated at the GGA-PBE level.

Cell and atoms, written as extended XYZ:
```
12
Lattice="5.584 0.000 0.000 -2.792 4.836 0.000 0.000 0.000 7.897" Properties=species:S:1:pos:R:3 pbc="T T T"
Pu 2.792 1.612 3.395
Pu 0.000 3.224 4.501
Pu 0.000 3.224 7.344
Pu 2.792 1.612 0.553
Al 0.000 0.000 3.948
Al 0.000 0.000 0.000
Rh 0.000 1.641 1.974
Rh 1.421 0.820 5.922
Rh 2.792 3.195 5.922
Rh -1.371 4.016 1.974
Rh 4.163 0.820 5.922
Rh 1.371 4.016 1.974
```

Size of the total moment in μB/cell: 20.21
Formation energy from the elements in meV per atom: -691
DOS at the Fermi energy in states/eV/f.u.: 16.3
Crystal system: hexagonal
Symmetry: P6_3/mmc

No. 6
Below is Pu2AlRh after structural relaxation, with properties calculated at the GGA-PBE level.

Cell and atoms, written as extended XYZ:
```
4
Lattice="-0.453 -0.605 5.067 -2.247 -2.690 -0.522 2.722 -2.268 -0.027" Properties=species:S:1:pos:R:3 pbc="T T T"
Rh 0.011 -2.781 2.259
Al -0.227 -0.302 2.533
Pu 1.361 -1.134 -0.014
Pu -1.123 -1.345 -0.261
```

Size of the total moment in μB/cell: 0.00
Formation energy from the elements in meV per atom: -106
E above lowest polymorph in kJ/mol of atoms: 21.1
DOS at the Fermi energy in states/eV/f.u.: 6.8
Crystal system: tetragonal
Symmetry: P4/mmm

No. 7
Below is Pu2AlRh after structural relaxation, with properties calculated at the GGA-PBE level.

Cell and atoms, written as extended XYZ:
```
4
Lattice="3.783 0.000 0.000 0.000 3.783 0.000 0.000 0.000 5.763" Properties=species:S:1:pos:R:3 pbc="T T T"
Rh 1.891 1.891 0.000
Al 1.891 1.891 2.881
Pu 0.000 0.000 4.374
Pu 0.000 0.000 1.389
```

Size of the total moment in μB/cell: 10.59
Formation energy from the elements in meV per atom: -324
E above lowest polymorph in kJ/mol of atoms: 0.0
DOS at the Fermi energy in states/eV/f.u.: 13.3
Crystal system: tetragonal
Symmetry: P4/mmm

No. 8
Below is PuAlRh after structural relaxation, with properties calculated at the GGA-PBE level.

Cell and atoms, written as extended XYZ:
```
6
Lattice="4.865 -0.135 -2.119 -2.962 4.353 -0.679 -0.184 0.135 5.304" Properties=species:S:1:pos:R:3 pbc="T T T"
Pu 0.724 0.636 1.452
Pu 0.995 3.717 1.054
Al 2.433 -0.068 -1.060
Al -1.481 2.176 -0.339
Rh -1.573 2.244 2.312
Rh 0.952 2.109 -1.399
```

Size of the total moment in μB/cell: 10.62
Formation energy from the elements in meV per atom: -632
DOS at the Fermi energy in states/eV/f.u.: 8.0
Crystal system: orthorhombic
Symmetry: Imma

No. 9
Below is Pu2AlSi4Rh3 after structural relaxation, with properties calculated at the GGA-PBE level.

Cell and atoms, written as extended XYZ:
```
10
Lattice="4.087 0.000 0.000 0.000 4.087 0.000 0.000 0.000 10.238" Properties=species:S:1:pos:R:3 pbc="T T T"
Pu 2.043 0.000 2.491
Pu 0.000 2.043 7.747
Al 2.043 2.043 5.119
Si 2.043 2.043 0.000
Si 0.000 0.000 0.000
Si 2.043 0.000 6.600
Si 0.000 2.043 3.638
Rh 0.000 0.000 5.119
Rh 2.043 0.000 8.979
Rh 0.000 2.043 1.259
```

Size of the total moment in μB/cell: 10.16
DOS at the Fermi energy in states/eV/f.u.: 25.6
Crystal system: tetragonal
Formation energy (no corrections) in eV per formula unit: -7.37
Symmetry: P-4m2

No. 10
Below is PuAlSi2Rh after structural relaxation, with properties calculated at the GGA-PBE level.

Cell and atoms, written as extended XYZ:
```
5
Lattice="-1.094 -3.659 0.938 1.491 -1.315 -3.393 4.575 1.678 3.638" Properties=species:S:1:pos:R:3 pbc="T T T"
Pu 0.000 0.000 0.000
Al 1.840 -2.234 1.674
Si 1.238 -2.664 -0.703
Si 3.734 -0.633 1.886
Rh 3.132 -1.062 -0.491
```

Size of the total moment in μB/cell: 5.36
DOS at the Fermi energy in states/eV/f.u.: 10.8
Crystal system: tetragonal
Formation energy (no corrections) in eV per formula unit: -3.49
Symmetry: I-4m2

No. 11
Below is Sm2PuAl2Rh5 after structural relaxation, with properties calculated at the GGA-PBE level.

Cell and atoms, written as extended XYZ:
```
20
Lattice="-0.475 1.150 3.378 5.148 -7.998 3.448 8.606 5.285 -0.590" Properties=species:S:1:pos:R:3 pbc="T T T"
Sm 4.975 -4.472 2.223
Sm 8.779 1.760 0.635
Sm 3.699 0.324 0.410
Sm 10.055 -3.036 2.448
Pu 0.000 0.000 0.000
Pu 6.877 -1.356 1.429
Al 5.970 2.314 0.051
Al 7.784 -5.026 2.806
Al 10.761 -0.324 1.623
Al 2.993 -2.389 1.234
Rh 1.456 -0.762 2.382
Rh 11.823 -0.800 3.853
Rh 6.892 4.180 1.464
Rh 7.140 -2.851 3.893
Rh 6.387 -5.742 4.772
Rh 6.140 1.289 2.342
Rh 8.830 -0.210 3.231
Rh 4.449 -1.353 3.004
Rh 2.337 -3.424 3.413
Rh 4.066 3.218 1.394
```

Size of the total moment in μB/cell: 9.77
Formation energy from the elements in meV per atom: -765
DOS at the Fermi energy in states/eV/f.u.: 13.3
Crystal system: tetragonal
Symmetry: P4/mbm

No. 12
Below is Pu2Al2SnRh5 after structural relaxation, with properties calculated at the GGA-PBE level.

Cell and atoms, written as extended XYZ:
```
20
Lattice="3.541 0.000 0.000 0.000 9.948 0.000 0.000 0.000 9.948" Properties=species:S:1:pos:R:3 pbc="T T T"
Pu 0.000 6.727 1.753
Pu 0.000 3.221 8.196
Pu 0.000 1.753 3.221
Pu 0.000 8.196 6.727
Al 0.000 1.208 6.182
Al 0.000 8.740 3.766
Al 0.000 6.182 8.740
Al 0.000 3.766 1.208
Sn 0.000 0.000 0.000
Sn 0.000 4.974 4.974
Rh 1.771 2.076 0.679
Rh 1.771 7.872 9.270
Rh 1.771 0.679 7.872
Rh 1.771 7.050 4.295
Rh 1.771 9.270 2.076
Rh 1.771 2.898 5.653
Rh 1.771 5.653 7.050
Rh 1.771 4.295 2.898
Rh 1.771 4.974 0.000
Rh 1.771 0.000 4.974
```

Size of the total moment in μB/cell: 19.67
Formation energy from the elements in meV per atom: -627
DOS at the Fermi energy in states/eV/f.u.: 28.7
Crystal system: tetragonal
Symmetry: P4/mbm

The highest size of the total moment belongs to which entry?
Pu2Al9Rh3

Look up the size of the total moment of the fourth one.
11.88 μB/cell

What did the ninth record say?
Below is Pu2AlSi4Rh3 after structural relaxation, with properties calculated at the GGA-PBE level.

Cell and atoms, written as extended XYZ:
```
10
Lattice="4.087 0.000 0.000 0.000 4.087 0.000 0.000 0.000 10.238" Properties=species:S:1:pos:R:3 pbc="T T T"
Pu 2.043 0.000 2.491
Pu 0.000 2.043 7.747
Al 2.043 2.043 5.119
Si 2.043 2.043 0.000
Si 0.000 0.000 0.000
Si 2.043 0.000 6.600
Si 0.000 2.043 3.638
Rh 0.000 0.000 5.119
Rh 2.043 0.000 8.979
Rh 0.000 2.043 1.259
```

Size of the total moment in μB/cell: 10.16
DOS at the Fermi energy in states/eV/f.u.: 25.6
Crystal system: tetragonal
Formation energy (no corrections) in eV per formula unit: -7.37
Symmetry: P-4m2